1.
DFT (PBE-GGA) results for an optimized crystal structure of BaLiTe2N.

Summary:
**ΔE_f (raw)**: 0.013 eV/atom
**N(E_F)**: 0.60 states/eV/atom

Cell lengths 5.468, 5.468, 4.676 Å; angles 90.00, 90.00, 90.00 degrees
Positions (direct):
Ba: 0.000 0.000 0.000
Li: 0.500 0.500 0.500
Te: 0.000 0.500 0.500
Te: 0.500 0.000 0.500
N: 0.500 0.500 0.000

2.
DFT (PBE-GGA) results for an optimized crystal structure of Hf2V3Ga.

Summary:
**VASP energy**: -8.539 eV/atom
**N(E_F)**: 1.59 states/eV/atom

Cell lengths 5.102, 5.102, 5.287 Å; angles 118.89, 118.89, 59.88 degrees
Positions (direct):
Hf: 0.125 0.125 0.374
Hf: 0.875 0.875 0.626
V: 0.000 0.500 0.000
V: 0.500 0.000 0.000
V: 0.500 0.500 0.000
Ga: 0.500 0.500 0.500

3.
DFT (PBE-GGA) results for an optimized crystal structure of La2CeCo.

Summary:
**VASP energy**: -5.520 eV/atom
**N(E_F)**: 2.32 states/eV/atom

Cell lengths 10.593, 10.593, 10.593 Å; angles 20.26, 20.26, 20.26 degrees
Positions (direct):
La: 0.113 0.113 0.113
La: 0.887 0.887 0.887
Ce: 0.000 0.000 0.000
Co: 0.500 0.500 0.500

4.
DFT (PBE-GGA) results for an optimized crystal structure of Tc5Sb.

Summary:
**ΔE_f (raw)**: 0.123 eV/atom
**N(E_F)**: 1.09 states/eV/atom

Cell lengths 4.401, 7.472, 7.472 Å; angles 22.31, 90.00, 90.00 degrees
Positions (direct):
Tc: 0.000 0.000 0.000
Tc: 0.000 0.319 0.319
Tc: 0.000 0.659 0.659
Tc: 0.500 0.108 0.108
Tc: 0.500 0.759 0.759
Sb: 0.500 0.436 0.436

5.
DFT (PBE-GGA) results for an optimized crystal structure of BaSrBiH.

Summary:
**VASP energy**: -3.495 eV/atom

Cell lengths 5.136, 5.136, 9.485 Å; angles 90.00, 90.00, 90.00 degrees
Positions (direct):
Ba: 0.250 0.750 0.000
Ba: 0.750 0.250 0.000
Sr: 0.250 0.250 0.357
Sr: 0.750 0.750 0.643
Bi: 0.250 0.250 0.716
Bi: 0.750 0.750 0.284
H: 0.250 0.250 0.093
H: 0.750 0.750 0.907

6.
DFT (PBE-GGA) results for an optimized crystal structure of MgCdCu2.

Summary:
**VASP energy**: -2.660 eV/atom
**N(E_F)**: 0.30 states/eV/atom

Cell lengths 4.480, 4.480, 4.480 Å; angles 60.00, 60.00, 60.00 degrees
Positions (direct):
Mg: 0.000 0.000 0.000
Cd: 0.750 0.750 0.750
Cu: 0.250 0.250 0.250
Cu: 0.500 0.500 0.500

7.
DFT (PBE-GGA) results for an optimized crystal structure of CsZrN2.

Summary:
**ΔE_f (raw)**: 1.194 eV/atom
**N(E_F)**: 0.57 states/eV/atom

Cell lengths 4.443, 4.443, 4.443 Å; angles 60.00, 60.00, 60.00 degrees
Positions (direct):
Cs: 0.000 0.000 0.000
Zr: 0.500 0.500 0.500
N: 0.250 0.250 0.250
N: 0.750 0.750 0.750

8.
DFT (PBE-GGA) results for an optimized crystal structure of SmZnCuGe2.

Summary:
**VASP energy**: -4.313 eV/atom
**N(E_F)**: 0.47 states/eV/atom

Cell lengths 6.138, 6.138, 6.138 Å; angles 140.70, 140.70, 56.80 degrees
Positions (direct):
Sm: 0.000 0.000 0.000
Zn: 0.750 0.250 0.500
Cu: 0.250 0.750 0.500
Ge: 0.383 0.383 0.000
Ge: 0.617 0.617 0.000